Record 1
Density functional theory data (PBE-GGA) for an optimized crystal structure of Pm2HoP3Pt12.

The total magnetic moment is 0.00 μB per formula unit. The volume is 360.7 Å³/f.u. As for the energy relative to the elements: -492 meV/atom. As for the total energy: -334.98 eV per cell.

The structure belongs to space group R-3m (No. 166, hexagonal axes); the cell edges are 8.2894, 8.2894 and 18.1833 Å and the angles 90.00°, 90.00° and 120.00°. The inequivalent atoms are Pm at (0.0000, 0.0000, 0.0999), Ho at (0.0000, 0.0000, 0.5000), P at (0.0000, 0.5000, 0.0000), Pt at (0.0283, 0.5141, 0.8725) and Pt at (0.0379, 0.5189, 0.3596).

---

Record 2
Density functional theory data (PBE-GGA) for an optimized crystal structure of Nb8AuN2.

The total magnetic moment is 0.00 μB per formula unit. The volume is 178.0 Å³/f.u. As for the total energy: -202.56 eV per cell. The value obtained for the uncorrected formation energy is -72 meV/atom.

The structure belongs to space group Immm (No. 71); the cell edges are 4.519, 5.743 and 13.719 Å and the angles 90.00°, 90.00° and 90.00°. The inequivalent atoms are Nb at (0.000, 0.000, 0.120), Nb at (0.000, 0.243, 0.400), Nb at (0.000, 0.500, 0.219), Au at (0.000, 0.500, 0.000) and N at (0.000, 0.000, 0.275).

---

Record 3
Density functional theory data (PBE-GGA) for an optimized crystal structure of TmInHg6.

Its energy above the most stable polymorph in this dataset is 0.000 eV per atom. The total magnetic moment is 0.00 μB per formula unit. The volume is 197.2 Å³/f.u. As for the energy relative to the elements: -137 meV/atom. As for the total energy: -10.12 eV per cell.

The structure belongs to space group P4/mmm (No. 123); the cell edges are 4.789, 4.789 and 8.598 Å and the angles 90.00°, 90.00° and 90.00°. The inequivalent atoms are Tm at (0.000, 0.000, 0.000), In at (0.000, 0.000, 0.500), Hg at (0.000, 0.500, 0.247), Hg at (0.500, 0.500, 0.000) and Hg at (0.500, 0.500, 0.500).

---

Record 4
Density functional theory data (PBE-GGA) for an optimized crystal structure of IrOsAu2.

Its energy above the most stable polymorph in this dataset is 0.383 eV per atom. The total magnetic moment is 0.00 μB per formula unit. The volume is 65.5 Å³/f.u. As for the energy relative to the elements: 619 meV/atom. As for the total energy: -48.34 eV per cell.

The structure belongs to space group Cmmm (No. 65); the cell edges are 2.759, 4.838 and 9.809 Å and the angles 90.00°, 90.00° and 90.00°. The inequivalent atoms are Ir at (0.000, 0.000, 0.000), Os at (0.000, 0.000, 0.500) and Au at (0.000, 0.500, 0.249).

---

Record 5
Density functional theory data (PBE-GGA) for an optimized crystal structure of BaZn6Si2.

The total magnetic moment is 0.00 μB per formula unit. The volume is 165.6 Å³/f.u. As for the total energy: -21.35 eV per cell. The value obtained for the uncorrected formation energy is -105 meV/atom.

The structure belongs to space group P4/mmm (No. 123); the cell edges are 4.336, 4.336 and 8.805 Å and the angles 90.00°, 90.00° and 90.00°. The inequivalent atoms are Ba at (0.000, 0.000, 0.000), Zn at (0.000, 0.000, 0.500), Zn at (0.000, 0.500, 0.311), Zn at (0.500, 0.500, 0.500) and Si at (0.500, 0.500, 0.154).

---

Record 6
Density functional theory data (PBE-GGA) for an optimized crystal structure of Nd8Y4Th.

The total magnetic moment is 0.00 μB per formula unit. The volume is 456.0 Å³/f.u. As for the energy relative to the elements: 217 meV/atom. As for the total energy: -205.80 eV per cell.

The structure belongs to space group R-3m (No. 166, hexagonal axes); the cell edges are 7.4323, 7.4323 and 28.5932 Å and the angles 90.00°, 90.00° and 120.00°. The inequivalent atoms are Nd at (0.0000, 0.0000, 0.2145), Nd at (0.0349, 0.5174, 0.7648), Y at (0.0000, 0.0000, 0.0000), Y at (0.0000, 0.5000, 0.0000) and Th at (0.0000, 0.0000, 0.5000).

---

Record 7
Density functional theory data (PBE-GGA) for an optimized crystal structure of KVCu3.

Its energy above the most stable polymorph in this dataset is 0.000 eV per atom. The total magnetic moment is 2.77 μB per formula unit. The volume is 115.2 Å³/f.u. As for the energy relative to the elements: 926 meV/atom. As for the total energy: -17.88 eV per cell.

The structure belongs to space group Pm-3m (No. 221); the cell edges are 4.866, 4.866 and 4.866 Å and the angles 90.00°, 90.00° and 90.00°. The inequivalent atoms are K at (0.000, 0.000, 0.000), V at (0.500, 0.500, 0.500) and Cu at (0.000, 0.500, 0.500).

---

Record 8
Density functional theory data (PBE-GGA) for an optimized crystal structure of ScCrCd2.

Its energy above the most stable polymorph in this dataset is 0.119 eV per atom. The total magnetic moment is 3.58 μB per formula unit. The volume is 81.1 Å³/f.u. As for the energy relative to the elements: 162 meV/atom. As for the total energy: -34.27 eV per cell.

The structure belongs to space group Cm (No. 8); the cell edges are 9.898, 3.189 and 5.238 Å and the angles 90.00°, 101.25° and 90.00°. The inequivalent atoms are Sc at (0.000, 0.000, 0.000), Cr at (0.247, 0.500, 0.226), Cd at (0.244, 0.000, 0.731) and Cd at (0.490, 0.000, 0.482).

---

Record 9
Density functional theory data (PBE-GGA) for an optimized crystal structure of Al2Cd2Pt.

The total magnetic moment is 0.00 μB per formula unit. The volume is 96.1 Å³/f.u. As for the energy relative to the elements: -166 meV/atom. As for the total energy: -32.37 eV per cell.

The structure belongs to space group P4/mbm (No. 127); the cell edges are 6.573, 6.573 and 4.450 Å and the angles 90.00°, 90.00° and 90.00°. The inequivalent atoms are Al at (0.144, 0.356, 0.000), Cd at (0.165, 0.665, 0.500) and Pt at (0.000, 0.000, 0.000).

---

Record 10
Density functional theory data (PBE-GGA) for an optimized crystal structure of ScGaSe2N.

Its energy above the most stable polymorph in this dataset is 0.000 eV per atom. The total magnetic moment is 0.00 μB per formula unit. The volume is 95.4 Å³/f.u. As for the total energy: -24.63 eV per cell. The value obtained for the uncorrected formation energy is 5 meV/atom.

The structure belongs to space group P4/mmm (No. 123); the cell edges are 5.096, 5.096 and 3.674 Å and the angles 90.00°, 90.00° and 90.00°. The inequivalent atoms are Sc at (0.000, 0.000, 0.000), Ga at (0.500, 0.500, 0.500), Se at (0.000, 0.500, 0.500) and N at (0.500, 0.500, 0.000).

---

Record 11
Density functional theory data (PBE-GGA) for an optimized crystal structure of NdNi7B5.

The total magnetic moment is 0.00 μB per formula unit. The volume is 130.2 Å³/f.u. As for the energy relative to the elements: -43 meV/atom. As for the total energy: -158.35 eV per cell.

The structure belongs to space group Imm2 (No. 44); the cell edges are 4.485, 7.754 and 7.489 Å and the angles 90.00°, 90.00° and 90.00°. The inequivalent atoms are Nd at (0.000, 0.000, 0.000), Ni at (0.000, 0.000, 0.341), Ni at (0.000, 0.000, 0.649), Ni at (0.000, 0.286, 0.444), Ni at (0.000, 0.348, 0.028), Ni at (0.000, 0.500, 0.727), B at (0.000, 0.500, 0.256) and B at (0.196, 0.247, 0.731).

---

Record 12
Density functional theory data (PBE-GGA) for an optimized crystal structure of Sc6TlSn2.

The total magnetic moment is 0.00 μB per formula unit. The volume is 211.3 Å³/f.u. As for the energy relative to the elements: -418 meV/atom. As for the total energy: -52.13 eV per cell.

The structure belongs to space group P-62m (No. 189); the cell edges are 8.2712, 8.2712 and 3.5665 Å and the angles 90.00°, 90.00° and 120.00°. The inequivalent atoms are Sc at (0.0000, 0.2863, 0.0000), Sc at (0.0000, 0.6165, 0.5000), Tl at (0.0000, 0.0000, 0.5000) and Sn at (0.3333, 0.6667, 0.0000).

---

The records above give, respectively, DOS at the Fermi energy values of 0.38, 0.63, 0.29, 1.48, 0.14, 1.22, 1.07, 0.81, 0.45, 0.85, 0.55, 1.61 states/eV/atom.